No. 1
VASP calculation (GGA-PBE) on crystalline Be2RhPb at its relaxed geometry.

Geometry as extended XYZ:
```
4
Lattice="-2.770 -1.197 5.957 0.818 -2.688 -2.903 1.548 -2.007 2.316" Properties=species:S:1:pos:R:3 pbc="T T T"
Rh -0.976 -1.943 1.527
Be 0.000 0.000 0.000
Be -0.611 -1.602 4.136
Pb 1.183 -2.348 -0.293
```

Calculated values
Calculated total energy (eV/atom): -4.37
Formation energy from the elements (eV/atom): 0.261
Theoretical density (g/cm3): 9.72
V (Å³ per atom): 14.010



No. 2
VASP calculation (GGA-PBE) on crystalline LaHo2ErTl2 at its relaxed geometry.

Geometry as extended XYZ:
```
12
Lattice="5.167 0.000 0.000 0.000 6.815 0.000 0.000 0.000 10.097" Properties=species:S:1:pos:R:3 pbc="T T T"
Tl 0.000 2.039 8.761
Tl 2.583 4.924 6.476
Tl 2.583 1.517 3.621
Tl 0.000 5.447 1.336
Ho 2.583 3.755 9.641
Ho 0.000 2.304 1.816
Ho 0.000 5.712 8.281
Ho 2.583 0.347 0.456
Er 2.583 4.628 3.060
Er 2.583 1.221 7.037
La 0.000 6.514 4.617
La 0.000 3.106 5.480
```

Calculated values
Calculated total energy (eV/atom): -4.16
Formation energy from the elements (eV/atom): -0.264
Theoretical density (g/cm3): 9.76
V (Å³ per atom): 29.630



No. 3
VASP calculation (GGA-PBE) on crystalline Pr5InRh at its relaxed geometry.

Geometry as extended XYZ:
```
14
Lattice="6.250 -0.315 -0.121 1.684 6.027 -0.121 2.824 2.033 11.394" Properties=species:S:1:pos:R:3 pbc="T T T"
Pr 8.299 1.306 8.424
Pr 6.913 3.350 4.964
Pr 2.459 6.440 2.727
Pr 3.485 4.393 9.821
Pr 6.899 6.851 7.028
Pr 3.860 0.895 4.124
Pr 7.274 3.353 1.330
Pr 3.976 1.235 0.490
Pr 3.845 4.395 6.187
Pr 6.782 6.510 10.662
In 6.414 3.925 8.424
In 4.345 3.821 2.727
Rh 0.000 0.000 0.000
Rh 1.412 1.016 5.697
```

Calculated values
Calculated total energy (eV/atom): -5.10
Formation energy from the elements (eV/atom): -0.246
Theoretical density (g/cm3): 6.98
V (Å³ per atom): 31.328



No. 4
VASP calculation (GGA-PBE) on crystalline Tl2AsS3 at its relaxed geometry.

Geometry as extended XYZ:
```
12
Lattice="-0.600 1.799 5.960 1.776 -6.441 2.123 6.887 2.678 -3.396" Properties=species:S:1:pos:R:3 pbc="T T T"
S 5.515 0.789 3.612
S 2.547 -2.753 1.075
S 0.987 -3.798 5.013
S 0.188 -0.844 3.070
S 1.657 0.474 0.036
S 6.405 -2.438 4.651
Tl 6.021 -3.521 1.667
Tl 2.930 -1.665 4.077
Tl 2.041 1.557 3.020
Tl 5.133 -0.299 0.610
As 0.404 -1.491 0.925
As 0.771 -3.150 7.159
```

Calculated values
Calculated total energy (eV/atom): -3.78
Energy relative to the lowest polymorph listed for this composition (meV/atom): 16
Formation energy without anion corrections (eV/f.u.): -0.934
Theoretical density (g/cm3): 6.02
V (Å³ per atom): 26.679



No. 5
VASP calculation (GGA-PBE) on crystalline BaMn2Pb at its relaxed geometry.

Geometry as extended XYZ:
```
4
Lattice="4.664 0.007 -0.007 2.325 4.043 -0.007 2.338 1.355 6.229" Properties=species:S:1:pos:R:3 pbc="T T T"
Ba 2.332 1.351 1.410
Mn 2.337 1.355 5.125
Mn 6.995 4.054 5.034
Pb 4.664 2.703 3.981
```

Calculated values
Calculated total energy (eV/atom): -5.68
Formation energy from the elements (eV/atom): 0.314
Theoretical density (g/cm3): 6.43
V (Å³ per atom): 29.357



No. 6
VASP calculation (GGA-PBE) on crystalline Ba6Sn2N at its relaxed geometry.

Geometry as extended XYZ:
```
9
Lattice="-1.593 -2.777 -2.688 8.687 -6.304 1.363 -8.177 -0.765 5.637" Properties=species:S:1:pos:R:3 pbc="T T T"
Ba 2.704 -1.962 0.424
Ba -5.422 -1.924 1.951
Ba 0.379 -5.631 5.593
Ba -0.458 -4.442 1.610
Ba 4.453 -5.198 -0.520
Ba 7.020 -6.436 2.488
Sn 3.010 -4.579 2.946
Sn -2.426 -2.543 4.066
N 6.458 -6.653 -0.205
```

Calculated values
Calculated total energy (eV/atom): -3.46
Energy relative to the lowest polymorph listed for this composition (meV/atom): 185
Formation energy without anion corrections (eV/f.u.): -3.256
Theoretical density (g/cm3): 4.72
V (Å³ per atom): 42.036



No. 7
VASP calculation (GGA-PBE) on crystalline Y5HgIr2 at its relaxed geometry.

Geometry as extended XYZ:
```
16
Lattice="-2.529 7.146 1.666 -6.767 -1.591 -3.451 2.179 -5.021 6.769" Properties=species:S:1:pos:R:3 pbc="T T T"
Y -2.030 -4.317 3.166
Y 0.000 0.000 0.000
Y -5.088 4.851 1.818
Y 0.902 -2.244 5.189
Y -2.614 1.562 1.602
Y -5.545 -0.510 -0.421
Y -1.572 1.044 5.405
Y -8.019 2.778 -0.205
Y -4.648 2.778 -0.893
Y -4.504 -1.028 3.382
Hg -1.235 -1.122 2.938
Hg -5.883 1.656 2.046
Ir -6.505 5.129 -0.775
Ir -6.732 1.205 -2.368
Ir -2.564 4.350 0.583
Ir -2.791 0.426 -1.010
```

Calculated values
Calculated total energy (eV/atom): -6.97
Formation energy from the elements (eV/atom): -0.676
Theoretical density (g/cm3): 8.40
V (Å³ per atom): 25.439



No. 8
VASP calculation (GGA-PBE) on crystalline Ac2ScTlO6 at its relaxed geometry.

Geometry as extended XYZ:
```
20
Lattice="5.916 0.000 -0.017 0.000 6.103 0.000 0.027 0.000 8.471" Properties=species:S:1:pos:R:3 pbc="T T T"
Ac 2.888 2.741 2.100
Ac 5.859 0.311 6.327
Ac 3.056 3.363 6.354
Ac 0.084 5.792 2.127
Tl 0.014 3.052 4.236
Tl 2.958 0.000 -0.009
O 2.358 5.849 6.251
O 1.839 4.352 3.727
O 1.710 4.223 0.442
O 0.641 2.798 6.447
O 5.303 3.306 2.006
O 4.233 1.880 8.012
O 3.585 0.254 2.203
O 4.682 4.932 4.669
O 1.133 1.301 0.500
O 4.105 1.751 4.727
O 4.811 4.803 7.954
O 1.261 1.171 3.785
Sc 2.972 0.000 4.227
Sc 0.000 3.052 0.000
```

Calculated values
Calculated total energy (eV/atom): -7.42
Formation energy without anion corrections (eV/f.u.): -27.503
Theoretical density (g/cm3): 8.68
V (Å³ per atom): 15.294



No. 9
VASP calculation (GGA-PBE) on crystalline YFe2Sb at its relaxed geometry.

Geometry as extended XYZ:
```
4
Lattice="3.934 0.000 0.000 0.000 4.042 0.217 0.000 1.770 4.766" Properties=species:S:1:pos:R:3 pbc="T T T"
Sb 0.000 2.676 2.063
Fe 0.000 2.528 4.791
Fe 1.967 0.696 1.236
Y 1.967 4.589 4.151
```

Calculated values
Calculated total energy (eV/atom): -6.91
Formation energy without anion corrections (eV/f.u.): -0.142
Theoretical density (g/cm3): 7.21
V (Å³ per atom): 18.571



No. 10
VASP calculation (GGA-PBE) on crystalline MgSe at its relaxed geometry.

Geometry as extended XYZ:
```
8
Lattice="-4.912 4.208 -3.236 -5.266 -4.418 2.248 -0.398 2.310 3.609" Properties=species:S:1:pos:R:3 pbc="T T T"
Mg -5.150 -1.588 0.449
Mg -8.627 0.981 0.986
Mg -5.028 1.378 -1.437
Mg -1.949 1.119 1.634
Se -7.014 -0.145 -0.681
Se -5.398 -1.632 3.015
Se -3.164 -0.065 -0.307
Se -5.178 3.732 -0.395
```

Calculated values
Calculated total energy (eV/atom): -3.78
Formation energy without anion corrections (eV/f.u.): -2.475
Theoretical density (g/cm3): 3.05
V (Å³ per atom): 28.136



No. 11
VASP calculation (GGA-PBE) on crystalline AcSnSe at its relaxed geometry.

Geometry as extended XYZ:
```
6
Lattice="-0.887 4.246 -0.054 -2.970 -0.660 -3.091 -5.038 -3.158 8.558" Properties=species:S:1:pos:R:3 pbc="T T T"
Ac -4.854 -0.951 4.867
Ac -4.040 1.379 0.544
Se -2.618 -0.513 2.625
Se -6.277 0.941 2.787
Sn -1.485 -0.330 -1.546
Sn -0.443 2.123 -0.027
```

Calculated values
Calculated total energy (eV/atom): -5.18
Energy relative to the lowest polymorph listed for this composition (meV/atom): 0
Formation energy without anion corrections (eV/f.u.): -3.955
Theoretical density (g/cm3): 7.53
V (Å³ per atom): 31.229



No. 12
VASP calculation (GGA-PBE) on crystalline LuV2Tc at its relaxed geometry.

Geometry as extended XYZ:
```
4
Lattice="-1.020 -2.597 1.325 2.575 -0.143 1.701 -3.132 3.813 5.062" Properties=species:S:1:pos:R:3 pbc="T T T"
Lu -0.789 0.537 4.044
V -0.622 0.758 1.006
V -2.510 3.056 4.056
Tc 0.777 -1.370 1.513
```

Calculated values
Calculated total energy (eV/atom): -8.21
Formation energy from the elements (eV/atom): 0.068
Energy relative to the lowest polymorph listed for this composition (meV/atom): 0
Theoretical density (g/cm3): 9.23
V (Å³ per atom): 16.865



No. 13
VASP calculation (GGA-PBE) on crystalline Zr2Ta3Ge4 at its relaxed geometry.

Geometry as extended XYZ:
```
18
Lattice="6.890 -0.070 0.000 -2.331 6.623 0.000 0.000 0.000 7.009" Properties=species:S:1:pos:R:3 pbc="T T T"
Zr -0.076 1.226 1.189
Zr 4.635 5.327 5.820
Zr 3.369 1.192 2.315
Zr 1.190 5.361 4.694
Ge 2.354 6.049 0.245
Ge -1.091 6.084 3.260
Ge -0.260 3.380 6.079
Ge 2.205 0.504 6.764
Ge 1.374 3.207 2.575
Ge 3.185 3.346 4.434
Ge 4.819 3.173 0.930
Ge 5.650 0.469 3.749
Ta 1.097 1.644 4.717
Ta -1.165 3.311 3.505
Ta 2.280 3.276 0.000
Ta 3.462 4.909 2.293
Ta 0.017 4.944 1.212
Ta 4.542 1.609 5.797
```

Calculated values
Calculated total energy (eV/atom): -8.52
Formation energy from the elements (eV/atom): -0.614
Theoretical density (g/cm3): 10.59
V (Å³ per atom): 17.704



No. 14
VASP calculation (GGA-PBE) on crystalline Cs2Pm3F10 at its relaxed geometry.

Geometry as extended XYZ:
```
30
Lattice="7.327 0.000 -2.385 -1.071 8.171 -3.290 -0.356 0.104 11.354" Properties=species:S:1:pos:R:3 pbc="T T T"
F 6.210 3.886 -0.393
F 0.131 6.017 0.402
F -0.067 1.364 -0.205
F 6.618 0.289 0.214
F 2.941 7.459 -3.413
F 4.538 5.982 1.494
F 1.362 2.293 4.185
F 3.797 7.987 3.996
F 3.825 4.390 4.727
F 3.485 0.052 4.485
F -0.718 7.987 5.466
F -0.178 0.052 5.677
F -0.310 4.390 6.072
F 5.484 4.086 -3.604
F 2.075 3.886 0.953
F 5.967 6.911 5.884
F 2.959 0.817 9.093
F 0.772 4.086 -2.070
F 5.769 2.259 5.278
F 2.103 0.289 1.684
Pm 5.437 0.000 -1.770
Pm 4.674 8.117 1.912
Pm 5.854 4.586 5.538
Pm 0.046 3.690 0.142
Pm 1.226 0.158 3.768
Pm 1.890 0.000 -0.615
Cs 4.698 2.955 1.986
Cs 1.202 5.320 3.694
Cs 3.647 5.462 -1.242
Cs 2.253 2.814 6.922
```

Calculated values
Calculated total energy (eV/atom): -5.87
Formation energy without anion corrections (eV/f.u.): -53.431
Theoretical density (g/cm3): 4.38
V (Å³ per atom): 22.520



No. 15
VASP calculation (GGA-PBE) on crystalline Ag2PtBr4 at its relaxed geometry.

Geometry as extended XYZ:
```
7
Lattice="-4.952 1.581 4.745 -1.048 -6.857 1.191 5.671 2.710 -0.205" Properties=species:S:1:pos:R:3 pbc="T T T"
Br -1.784 -4.686 2.378
Br 0.945 -1.220 3.934
Br -3.685 -0.576 4.108
Br 3.866 1.350 1.043
Ag -1.141 0.827 3.754
Ag 0.812 -3.393 1.977
Pt -3.000 -2.638 2.968
```

Calculated values
Calculated total energy (eV/atom): -2.81
Energy relative to the lowest polymorph listed for this composition (meV/atom): 31
Formation energy without anion corrections (eV/f.u.): -1.238
Theoretical density (g/cm3): 6.37
V (Å³ per atom): 27.203



No. 16
VASP calculation (GGA-PBE) on crystalline Pa4BiC at its relaxed geometry.

Geometry as extended XYZ:
```
12
Lattice="-0.021 3.253 0.592 0.280 -2.013 11.071 7.740 0.809 -4.178" Properties=species:S:1:pos:R:3 pbc="T T T"
Bi 2.144 -1.304 7.260
Bi 5.854 3.353 0.226
Pa 6.369 -0.509 3.020
Pa 1.630 2.558 4.465
Pa 3.828 1.338 2.013
Pa 5.660 -1.296 7.320
Pa 4.171 0.711 5.473
Pa 7.837 0.737 5.459
Pa 0.161 1.312 2.026
Pa 2.339 3.345 0.166
C 4.010 -0.602 3.447
C 0.000 0.000 0.000
```

Calculated values
Calculated total energy (eV/atom): -8.59
Formation energy from the elements (eV/atom): -0.071
Theoretical density (g/cm3): 13.03
V (Å³ per atom): 24.324



No. 17
VASP calculation (GGA-PBE) on crystalline Hf4In3O at its relaxed geometry.

Geometry as extended XYZ:
```
16
Lattice="4.454 0.000 0.000 0.000 8.593 0.000 0.000 0.000 8.928" Properties=species:S:1:pos:R:3 pbc="T T T"
In 2.514 3.275 6.687
In 0.287 5.318 6.706
In 0.287 5.318 2.222
In 2.514 5.219 0.000
In 0.287 3.374 4.464
In 2.514 3.275 2.242
Hf 0.287 1.102 6.705
Hf 0.287 1.102 2.223
Hf 2.514 1.120 0.000
Hf 0.287 7.521 0.000
Hf 2.514 1.072 4.464
Hf 0.287 7.473 4.464
Hf 2.514 7.492 2.241
Hf 2.514 7.492 6.687
O 0.287 1.247 0.000
O 2.514 7.346 4.464
```

Calculated values
Calculated total energy (eV/atom): -7.24
Formation energy without anion corrections (eV/f.u.): -4.960
Theoretical density (g/cm3): 10.44
V (Å³ per atom): 21.356



No. 18
VASP calculation (GGA-PBE) on crystalline NaEr4 at its relaxed geometry.

Geometry as extended XYZ:
```
5
Lattice="5.509 0.000 0.000 0.000 5.509 0.000 0.000 0.000 5.509" Properties=species:S:1:pos:R:3 pbc="T T T"
Er 2.754 0.000 2.754
Er 0.000 0.000 0.000
Er 2.754 2.754 0.000
Er 0.000 2.754 2.754
Na 2.754 2.754 2.754
```

Calculated values
Calculated total energy (eV/atom): -3.09
Formation energy from the elements (eV/atom): 0.823
Theoretical density (g/cm3): 6.87
V (Å³ per atom): 33.437



No. 19
VASP calculation (GGA-PBE) on crystalline ScInCl2 at its relaxed geometry.

Geometry as extended XYZ:
```
4
Lattice="-8.826 -6.024 1.111 -6.769 -8.332 -0.432 -6.626 -7.909 2.994" Properties=species:S:1:pos:R:3 pbc="T T T"
Cl -19.654 -19.694 3.249
Cl -2.567 -2.572 0.424
Sc -11.110 -11.133 1.836
In 0.000 0.000 0.000
```

Calculated values
Calculated total energy (eV/atom): -4.46
Energy relative to the lowest polymorph listed for this composition (meV/atom): 0
Formation energy without anion corrections (eV/f.u.): -5.081
Theoretical density (g/cm3): 3.51
V (Å³ per atom): 27.283



No. 20
VASP calculation (GGA-PBE) on crystalline Pm7PrIr4 at its relaxed geometry.

Geometry as extended XYZ:
```
12
Lattice="-1.285 -1.345 -5.225 -8.286 -2.921 -0.153 -3.624 5.556 -3.483" Properties=species:S:1:pos:R:3 pbc="T T T"
Pm -8.131 1.741 -4.335
Pm -6.007 -0.772 -1.267
Pm -7.189 2.063 -7.594
Pm -5.064 -0.450 -4.525
Pm -0.643 -0.673 -2.612
Pm -2.965 1.841 -2.688
Pm -10.230 -0.551 -6.172
Ir -4.863 2.213 -5.261
Ir -9.845 2.253 -6.989
Ir -3.350 -0.963 -1.872
Ir -8.332 -0.923 -3.600
Pr 0.000 0.000 0.000
```

Calculated values
Calculated total energy (eV/atom): -6.41
Formation energy from the elements (eV/atom): -0.288
Theoretical density (g/cm3): 10.00
V (Å³ per atom): 26.647



No. 21
VASP calculation (GGA-PBE) on crystalline Rb2NaSnTe4 at its relaxed geometry.

Geometry as extended XYZ:
```
8
Lattice="-6.369 4.875 -1.423 -7.057 -2.349 0.225 -3.460 3.846 5.348" Properties=species:S:1:pos:R:3 pbc="T T T"
Te -7.911 6.831 2.200
Te -7.515 0.729 -0.511
Te -4.645 3.977 1.116
Te -3.183 -0.290 -0.077
Na 0.000 0.000 0.000
Rb -5.258 0.749 2.787
Rb -8.443 3.186 2.075
Sn -3.185 2.437 -0.711
```

Calculated values
Calculated total energy (eV/atom): -3.10
Formation energy without anion corrections (eV/f.u.): -4.995
Theoretical density (g/cm3): 4.33
V (Å³ per atom): 39.481